Entry 1:
Here is an optimized crystal structure of MnAsP from Alexandria. Energies are from GGA-PBE.

Unit cell a=4.1804 b=4.1804 c=4.1804 alpha=60.00 beta=60.00 gamma=60.00
Sites, in units of the cell vectors:
As (0.0000, 0.0000, 0.0000)
Mn (0.5000, 0.5000, 0.5000)
P (0.7500, 0.7500, 0.7500)

Values from the calculation:
For the excess energy over the best structure of this formula in the dataset, the calculation gives 626 meV/atom. As for the formation energy: 0.326 eV/atom. The crystal system is cubic. The value obtained for the density of states at the Fermi level is 0.358 states/eV/atom.

=====

Entry 2:
Here is an optimized crystal structure of Mn4AsP3 from Alexandria. Energies are from GGA-PBE.

Unit cell a=3.2234 b=5.2631 c=5.9062 alpha=90.00 beta=90.00 gamma=90.00
Sites, in units of the cell vectors:
Mn (0.5000, 0.5020, 0.3082)
Mn (0.5000, 0.0091, 0.2035)
Mn (0.0000, 0.4894, 0.6858)
Mn (0.0000, 0.0076, 0.7998)
As (0.5000, 0.6891, 0.9266)
P (0.5000, 0.1881, 0.5703)
P (0.0000, 0.3050, 0.0768)
P (0.0000, 0.8098, 0.4290)

Values from the calculation:
As for the formation energy: -0.506 eV/atom. The crystal system is monoclinic. The value obtained for the density of states at the Fermi level is 0.481 states/eV/atom.